# CeYPdPb | Alexandria via LeMat-Bulk | PBE | relaxed
data_CeYPdPb
_symmetry_space_group_name_H-M 'F -4 3 m'
_symmetry_Int_Tables_number 216
_symmetry_space_group_name_Hall 'F -4 2 3'
_cell_length_a 7.4871
_cell_length_b 7.4871
_cell_length_c 7.4871
_cell_angle_alpha 90.00
_cell_angle_beta 90.00
_cell_angle_gamma 90.00
loop_
_atom_site_label
_atom_site_type_symbol
_atom_site_fract_x
_atom_site_fract_y
_atom_site_fract_z
Ce1 Ce 0.0000 0.0000 0.0000
Y1 Y 0.0000 0.0000 0.5000
Pd1 Pd 0.2500 0.2500 0.7500
Pb1 Pb 0.2500 0.2500 0.2500
# Electronic total energy in eV per cell: -93.30
# V in Å³/cell: 419.7
# Energy of formation from the pure elements in kJ/mol of atoms: -48.85

=====

# Ce5PmPb5 | Alexandria via LeMat-Bulk | PBE | relaxed
data_Ce5PmPb5
_symmetry_space_group_name_H-M 'C 1 2/m 1'
_symmetry_Int_Tables_number 12
_symmetry_space_group_name_Hall '-C 2y'
_cell_length_a 14.3720
_cell_length_b 6.4242
_cell_length_c 8.9748
_cell_angle_alpha 90.00
_cell_angle_beta 107.98
_cell_angle_gamma 90.00
loop_
_atom_site_label
_atom_site_type_symbol
_atom_site_fract_x
_atom_site_fract_y
_atom_site_fract_z
Ce1 Ce 0.0000 0.0000 0.0000
Ce2 Ce 0.1627 0.5000 0.8351
Ce3 Ce 0.1666 0.5000 0.3331
Pm1 Pm 0.0000 0.0000 0.5000
Pb1 Pb 0.0000 0.5000 0.5000
Pb2 Pb 0.1671 0.0000 0.8375
Pb3 Pb 0.1686 0.0000 0.3279
# Electronic total energy in eV per cell: -109.98
# V in Å³/cell: 788.1
# Energy of formation from the pure elements in kJ/mol of atoms: -17.77

=====

# CePm4Pb2 | Alexandria via LeMat-Bulk | PBE | relaxed
data_CePm4Pb2
_symmetry_space_group_name_H-M 'I 4/m m m'
_symmetry_Int_Tables_number 139
_symmetry_space_group_name_Hall '-I 4 2'
_cell_length_a 5.9311
_cell_length_b 5.9311
_cell_length_c 13.0531
_cell_angle_alpha 90.00
_cell_angle_beta 90.00
_cell_angle_gamma 90.00
loop_
_atom_site_label
_atom_site_type_symbol
_atom_site_fract_x
_atom_site_fract_y
_atom_site_fract_z
Ce1 Ce 0.0000 0.0000 0.0000
Pm1 Pm 0.0000 0.5000 0.0000
Pm2 Pm 0.0000 0.5000 0.2500
Pb1 Pb 0.0000 0.0000 0.3670
# Electronic total energy in eV per cell: -64.12
# V in Å³/cell: 459.2
# Energy of formation from the pure elements in kJ/mol of atoms: 4.06